# 1
{"formula": "LaY3Er", "functional": "PBE-GGA", "state": "relaxed", "sg": "No. 62", "dos_ef_per_ev_cell": 39.19, "energy_ev_per_atom": -5.584, "lattice_angstrom": [[5.5287, 0.0000, 0.0000], [0.0000, 10.5286, 0.0000], [0.0000, 0.0000, 11.8291]], "species": ["Y", "Y", "Y", "Y", "Y", "Y", "Y", "Y", "Y", "Y", "Y", "Y", "Er", "Er", "Er", "Er", "La", "La", "La", "La"], "frac_coords": [[0.5009, 0.7500, 0.1701], [0.0007, 0.9371, 0.1906], [0.4993, 0.5629, 0.6906], [0.4993, 0.9371, 0.6906], [0.0007, 0.5629, 0.1906], [0.4991, 0.2500, 0.8299], [0.0009, 0.2500, 0.3299], [0.9993, 0.4371, 0.8094], [0.9991, 0.7500, 0.6701], [0.9993, 0.0629, 0.8094], [0.5007, 0.0629, 0.3094], [0.5007, 0.4371, 0.3094], [0.5000, 0.0000, 0.0000], [0.0000, 0.0000, 0.5000], [0.5000, 0.5000, 0.0000], [0.0000, 0.5000, 0.5000], [0.9990, 0.2500, 0.0516], [0.5010, 0.2500, 0.5516], [0.4990, 0.7500, 0.4484], [0.0010, 0.7500, 0.9484]]}


# 2
{"formula": "La2YEr12", "functional": "PBE-GGA", "state": "relaxed", "sg": "No. 125", "dos_ef_per_ev_cell": 57.42, "energy_ev_per_atom": -4.375, "lattice_angstrom": [[6.4464, 0.0000, 0.0000], [0.0000, 6.4464, 0.0000], [0.0000, 0.0000, 24.6270]], "species": ["Er", "Er", "Er", "Er", "Er", "Er", "Er", "Er", "Er", "Er", "Er", "Er", "Er", "Er", "Er", "Er", "Er", "Er", "Er", "Er", "Er", "Er", "Er", "Er", "La", "La", "La", "La", "Y", "Y"], "frac_coords": [[0.6688, 0.1688, 0.4396], [0.0000, 0.0000, 0.2126], [0.5000, 0.5000, 0.2126], [0.0000, 0.0000, 0.3399], [0.8312, 0.6688, 0.4396], [0.3312, 0.1688, 0.5604], [0.7505, 0.7495, 0.8877], [0.5000, 0.5000, 0.7874], [0.5000, 0.5000, 0.6601], [0.2505, 0.7505, 0.8877], [0.7495, 0.7505, 0.1123], [0.6688, 0.8312, 0.5604], [0.3312, 0.8312, 0.4396], [0.5000, 0.5000, 0.3399], [0.2505, 0.2495, 0.1123], [0.7505, 0.2505, 0.1123], [0.2495, 0.2505, 0.8877], [0.0000, 0.0000, 0.6601], [0.2495, 0.7495, 0.1123], [0.0000, 0.0000, 0.7874], [0.7495, 0.2495, 0.8877], [0.1688, 0.6688, 0.5604], [0.8312, 0.3312, 0.5604], [0.1688, 0.3312, 0.4396], [0.5000, 0.0000, 0.7363], [0.0000, 0.5000, 0.7363], [0.0000, 0.5000, 0.2637], [0.5000, 0.0000, 0.2637], [0.0000, 0.5000, 0.0000], [0.5000, 0.0000, 0.0000]]}